# P2BrCl, relaxed, DFT PBE
# M_tot = 0.00 μB per formula unit
# formation energy (no corrections) = 1.049 eV per atom
# calculated total energy = -40.58 eV per cell
# energy above the lowest structure with this stoichiometry = 1.290 eV per atom
data_P2BrCl
_space_group_name_H-M_alt 'F m -3 m'
_space_group_IT_number 225
_space_group_name_Hall '-F 4 2 3'
_cell_length_a 6.749
_cell_length_b 6.749
_cell_length_c 6.749
_cell_angle_alpha 90.00
_cell_angle_beta 90.00
_cell_angle_gamma 90.00
loop_
_atom_site_label
_atom_site_type_symbol
_atom_site_fract_x
_atom_site_fract_y
_atom_site_fract_z
P1 P 0.250 0.250 0.250
Br1 Br 0.000 0.000 0.000
Cl1 Cl 0.000 0.000 0.500